(1)
YTiAl2 | PBE-GGA | optimized geometry

a b c (Å): 3.449 3.449 6.624
angles (deg): 90.00 90.00 90.00
Fractional positions:
1 Y 0.000 0.000 0.000
2 Ti 0.000 0.000 0.500
3 Al 0.500 0.500 0.295
4 Al 0.500 0.500 0.705

Total moment: 0.6 μB per formula unit
ΔH_f (0 K): -0.320 eV/atom

***

(2)
LiTlRh3 | PBE-GGA | optimized geometry

a b c (Å): 4.246 4.246 4.246
angles (deg): 90.00 90.00 90.00
Fractional positions:
1 Li 0.000 0.000 0.000
2 Tl 0.500 0.500 0.500
3 Rh 0.000 0.000 0.500
4 Rh 0.000 0.500 0.000
5 Rh 0.500 0.000 0.000

Total moment: 0.0 μB per formula unit
ΔH_f (0 K): 0.504 eV/atom

***

(3)
AcLa4Tb15 | PBE-GGA | optimized geometry

a b c (Å): 5.139 5.139 25.472
angles (deg): 90.00 90.00 90.00
Fractional positions:
1 Ac 0.000 0.000 0.000
2 La 0.000 0.000 0.202
3 La 0.000 0.000 0.400
4 La 0.000 0.000 0.600
5 La 0.000 0.000 0.798
6 Tb 0.000 0.500 0.103
7 Tb 0.000 0.500 0.301
8 Tb 0.000 0.500 0.500
9 Tb 0.000 0.500 0.699
10 Tb 0.000 0.500 0.897
11 Tb 0.500 0.000 0.103
12 Tb 0.500 0.000 0.301
13 Tb 0.500 0.000 0.500
14 Tb 0.500 0.000 0.699
15 Tb 0.500 0.000 0.897
16 Tb 0.500 0.500 0.000
17 Tb 0.500 0.500 0.202
18 Tb 0.500 0.500 0.401
19 Tb 0.500 0.500 0.599
20 Tb 0.500 0.500 0.798

Total moment: 0.0 μB per formula unit
ΔH_f (0 K): 0.032 eV/atom

***

(4)
Cs2KOsO4 | PBE-GGA | optimized geometry

a b c (Å): 6.764 6.764 7.982
angles (deg): 90.00 90.00 90.00
Fractional positions:
1 Cs 0.000 0.000 0.000
2 Cs 0.000 0.500 0.250
3 Cs 0.500 0.000 0.750
4 Cs 0.500 0.500 0.500
5 K 0.000 0.000 0.500
6 K 0.500 0.500 0.000
7 Os 0.000 0.500 0.750
8 Os 0.500 0.000 0.250
9 O 0.164 0.716 0.711
10 O 0.216 0.336 0.789
11 O 0.284 0.164 0.289
12 O 0.336 0.784 0.211
13 O 0.664 0.216 0.211
14 O 0.716 0.836 0.289
15 O 0.784 0.664 0.789
16 O 0.836 0.284 0.711

E_form (uncorrected): -1325 meV/atom
Total moment: 1.0 μB per formula unit

***

(5)
RbErTe2O8 | PBE-GGA | optimized geometry

a b c (Å): 5.856 5.856 8.400
angles (deg): 90.00 90.00 120.00
Fractional positions:
1 Rb 0.000 0.000 0.000
2 Er 0.000 0.000 0.500
3 Te 0.333 0.667 0.738
4 Te 0.667 0.333 0.262
5 O 0.095 0.335 0.663
6 O 0.240 0.905 0.663
7 O 0.333 0.667 0.955
8 O 0.335 0.240 0.337
9 O 0.665 0.760 0.663
10 O 0.667 0.333 0.045
11 O 0.760 0.095 0.337
12 O 0.905 0.665 0.337

E_form (uncorrected): -1589 meV/atom
Total moment: 0.0 μB per formula unit

***

(6)
LaHfTlRh2 | PBE-GGA | optimized geometry

a b c (Å): 4.804 4.804 5.865
angles (deg): 90.00 90.00 90.00
Fractional positions:
1 La 0.000 0.000 0.000
2 Hf 0.500 0.500 0.500
3 Tl 0.000 0.000 0.500
4 Rh 0.000 0.500 0.000
5 Rh 0.500 0.000 0.000

Total moment: 0.0 μB per formula unit
ΔH_f (0 K): 0.973 eV/atom

***

(7)
ThIr2Rh3 | PBE-GGA | optimized geometry

a b c (Å): 5.289 5.289 4.386
angles (deg): 90.00 90.00 120.00
Fractional positions:
1 Th 0.000 0.000 0.000
2 Ir 0.333 0.667 0.000
3 Ir 0.667 0.333 0.000
4 Rh 0.000 0.500 0.500
5 Rh 0.500 0.000 0.500
6 Rh 0.500 0.500 0.500

Total moment: 0.0 μB per formula unit
ΔH_f (0 K): -0.388 eV/atom

***

(8)
Ba2NaPdI | PBE-GGA | optimized geometry

a b c (Å): 6.174 6.174 5.556
angles (deg): 90.00 90.00 90.00
Fractional positions:
1 Ba 0.000 0.500 0.000
2 Ba 0.500 0.000 0.000
3 Na 0.000 0.000 0.500
4 Pd 0.000 0.000 0.000
5 I 0.500 0.500 0.500

E_form (uncorrected): -582 meV/atom
Total moment: 0.0 μB per formula unit

***

Respective DFT total energy values: -5.781; -4.763; -4.632; -5.558; -5.879; -5.417; -8.254; -2.964 eV/atom.
Respective DOS at the Fermi energy values: 0.585; 0.866; 1.548; 0.818; 0.000; 0.704; 1.455; 0.649 states/eV per atom.